Entry 1:
Density functional theory data (PBE-GGA) for an optimized crystal structure of Ce8Sb3Se4.

The structure in POSCAR format:
```
Ce8Sb3Se4
1.0
6.118 -6.121 0.000
6.118 6.121 0.000
-6.102 0.000 6.121
Ce Sb Se
8 3 4
Direct
0.240 0.240 0.487
0.240 0.240 0.992
0.244 0.756 0.000
0.247 0.753 0.500
0.753 0.247 0.500
0.756 0.244 0.000
0.760 0.760 0.008
0.760 0.760 0.513
0.000 0.500 0.000
0.500 0.000 0.000
0.500 0.500 0.000
0.000 0.000 0.000
0.000 0.000 0.500
0.000 0.500 0.500
0.500 0.000 0.500
```

Values from the calculation:
The value obtained for the formation energy without anion corrections is -1.274 eV per atom. Its space group is No. 12. The density of states at the Fermi level is 56.75 states/eV/cell.

Entry 2:
Density functional theory data (PBE-GGA) for an optimized crystal structure of NaCrSn2Pb.

The structure in POSCAR format:
```
NaCrSn2Pb
1.0
5.404 0.000 0.000
0.000 5.404 0.000
0.000 0.000 5.078
Na Cr Sn Pb
1 1 2 1
Direct
0.000 0.000 0.000
0.000 0.000 0.500
0.000 0.500 0.000
0.500 0.000 0.000
0.500 0.500 0.500
```

Values from the calculation:
The formation energy is 0.864 eV per atom. Its space group is No. 123. The density of states at the Fermi level is 3.12 states/eV/cell.